[1]
Density functional theory data (GGA-PBE) for LiLa2ZnTc after structural relaxation.

Summary:
**Raw total energy**: -4.606 eV per atom
**M_tot**: 0.0 μB per cell
**ΔE_f**: 0.08 eV/atom

POSCAR file:
```
LiLa2ZnTc
1.0
5.3745 0.0000 0.0000
0.0000 5.3745 0.0000
0.0000 0.0000 5.0949
Li La Zn Tc
1 2 1 1
direct
0.0000 0.0000 0.0000
0.0000 0.5000 0.5000
0.5000 0.0000 0.5000
0.5000 0.5000 0.0000
0.5000 0.5000 0.5000
```

---

[2]
Density functional theory data (GGA-PBE) for Er2PuThSe4 after structural relaxation.

Summary:
**Raw total energy**: -7.227 eV per atom
**M_tot**: 5.9 μB per cell

POSCAR file:
```
Er2PuThSe4
1.0
7.0132 0.0000 0.0000
0.0000 4.0242 0.0000
-2.3101 0.0000 6.9342
Er Pu Th Se
2 1 1 4
direct
0.0000 0.0000 0.0000
0.5000 0.5000 0.0000
0.0000 0.5000 0.5000
0.5000 0.0000 0.5000
0.2416 0.5000 0.2339
0.2510 0.0000 0.7626
0.7490 0.0000 0.2374
0.7584 0.5000 0.7661
```

---

[3]
Density functional theory data (GGA-PBE) for BaGa4Cu9 after structural relaxation.

Summary:
**Raw total energy**: -3.815 eV per atom
**M_tot**: 0.0 μB per cell
**ΔE_f**: -0.18 eV/atom

POSCAR file:
```
BaGa4Cu9
1.0
-4.2131 4.2131 6.0411
4.2131 -4.2131 6.0411
4.2131 4.2131 -6.0411
Ba Ga Cu
2 8 18
direct
0.2500 0.2500 0.0000
0.7500 0.7500 0.0000
0.0625 0.5625 0.8619
0.2006 0.0625 0.5000
0.2994 0.7994 0.8619
0.4375 0.2994 0.5000
0.5625 0.7006 0.5000
0.7006 0.2006 0.1381
0.7994 0.9375 0.5000
0.9375 0.4375 0.1381
0.0000 0.5000 0.5000
0.0629 0.2057 0.2686
0.0651 0.7927 0.5000
0.2057 0.9371 0.1428
0.2073 0.7073 0.2724
0.2927 0.5651 0.5000
0.2943 0.4371 0.7314
0.4349 0.9349 0.7276
0.4371 0.7057 0.1428
0.5000 0.0000 0.5000
0.5629 0.2943 0.8572
0.5651 0.0651 0.2724
0.7057 0.5629 0.2686
0.7073 0.4349 0.5000
0.7927 0.2927 0.7276
0.7943 0.0629 0.8572
0.9349 0.2073 0.5000
0.9371 0.7943 0.7314
```

---

[4]
Density functional theory data (GGA-PBE) for Li2YPt after structural relaxation.

Summary:
**Raw total energy**: -4.636 eV per atom
**M_tot**: 0.0 μB per cell
**ΔE_f**: -0.55 eV/atom

POSCAR file:
```
Li2YPt
1.0
5.1351 -1.9056 0.0000
5.1351 1.9056 0.0000
-1.7146 0.0000 3.8580
Li Y Pt
2 1 1
direct
0.2385 0.2385 0.2370
0.7615 0.7615 0.7630
0.0000 0.0000 0.5000
0.5000 0.5000 0.0000
```

---

[5]
Density functional theory data (GGA-PBE) for Pr4GeRhBr2 after structural relaxation.

Summary:
**Raw total energy**: -5.358 eV per atom
**M_tot**: 0.0 μB per cell

POSCAR file:
```
Pr4GeRhBr2
1.0
7.6480 0.0000 0.0000
0.0000 4.1855 0.0000
-2.2790 0.0000 7.5274
Pr Ge Rh Br
4 1 1 2
direct
0.2236 0.0000 0.2005
0.2530 0.5000 0.7950
0.7470 0.5000 0.2050
0.7764 0.0000 0.7995
0.5000 0.0000 0.0000
0.0000 0.5000 0.0000
0.0000 0.0000 0.5000
0.5000 0.5000 0.5000
```

---

[6]
Density functional theory data (GGA-PBE) for Nd2Sm2DyTm4 after structural relaxation.

Summary:
**Raw total energy**: -4.605 eV per atom
**M_tot**: 0.0 μB per cell
**ΔE_f**: 0.00 eV/atom

POSCAR file:
```
Nd2Sm2DyTm4
1.0
9.3382 -1.7995 0.0000
9.3382 1.7995 0.0000
-4.1677 0.0000 8.6171
Nd Sm Dy Tm
2 2 1 4
direct
0.1653 0.1653 0.0024
0.8347 0.8347 0.9976
0.3531 0.3531 0.3379
0.6469 0.6469 0.6621
0.5000 0.5000 0.0000
0.0196 0.0196 0.3330
0.3152 0.3152 0.6630
0.6848 0.6848 0.3370
0.9804 0.9804 0.6670
```

---

[7]
Density functional theory data (GGA-PBE) for NaLa2AlC after structural relaxation.

Summary:
**Raw total energy**: -4.772 eV per atom
**M_tot**: 0.0 μB per cell
**ΔE_f**: 0.06 eV/atom

POSCAR file:
```
NaLa2AlC
1.0
5.4448 0.0000 0.0000
0.0000 5.4448 0.0000
0.0000 0.0000 4.1153
Na La Al C
1 2 1 1
direct
0.0000 0.0000 0.0000
0.0000 0.5000 0.5000
0.5000 0.0000 0.5000
0.5000 0.5000 0.0000
0.5000 0.5000 0.5000
```

---

[8]
Density functional theory data (GGA-PBE) for LiCeCd11 after structural relaxation.

Summary:
**Raw total energy**: -1.511 eV per atom
**M_tot**: 1.1 μB per cell
**ΔE_f**: -0.13 eV/atom

POSCAR file:
```
LiCeCd11
1.0
2.9186 -7.0288 0.0000
2.9186 7.0288 0.0000
-2.8063 0.0000 7.0758
Li Ce Cd
1 1 11
direct
0.0000 0.0000 0.0000
0.5000 0.5000 0.5000
0.0000 0.5000 0.5000
0.0073 0.7978 0.2817
0.1416 0.4856 0.1447
0.2022 0.9927 0.7183
0.4856 0.1416 0.1447
0.5000 0.0000 0.5000
0.5000 0.5000 0.0000
0.5144 0.8584 0.8553
0.7978 0.0073 0.2817
0.8584 0.5144 0.8553
0.9927 0.2022 0.7183
```

---

[9]
Density functional theory data (GGA-PBE) for Ac2La4Pm after structural relaxation.

Summary:
**Raw total energy**: -4.646 eV per atom
**M_tot**: 0.0 μB per cell
**ΔE_f**: 0.02 eV/atom

POSCAR file:
```
Ac2La4Pm
1.0
7.5978 0.0000 0.0000
1.9000 8.2151 0.0000
0.0246 3.3970 8.6646
Ac La Pm
4 8 2
direct
0.0000 0.0000 0.0000
0.0728 0.7167 0.4307
0.5000 0.0000 0.0000
0.9272 0.2833 0.5693
0.1433 0.4337 0.8590
0.2926 0.8544 0.7129
0.3620 0.5639 0.1453
0.4293 0.2842 0.5730
0.5707 0.7158 0.4270
0.6380 0.4361 0.8547
0.7074 0.1456 0.2871
0.8567 0.5663 0.1410
0.2170 0.1469 0.2858
0.7830 0.8531 0.7142
```

---

[10]
Density functional theory data (GGA-PBE) for YCuTe after structural relaxation.

Summary:
**Raw total energy**: -5.236 eV per atom
**M_tot**: 0.0 μB per cell

POSCAR file:
```
YCuTe
1.0
4.2823 0.0000 0.0000
-2.1411 3.7086 0.0000
0.0000 0.0000 4.3975
Y Cu Te
1 1 1
direct
0.0000 0.0000 0.0000
0.3333 0.6667 0.3100
0.6667 0.3333 0.5342
```

---

[11]
Density functional theory data (GGA-PBE) for RbTiSnPb2 after structural relaxation.

Summary:
**Raw total energy**: -4.105 eV per atom
**M_tot**: 0.0 μB per cell
**ΔE_f**: -0.05 eV/atom

POSCAR file:
```
RbTiSnPb2
1.0
5.5150 0.0000 0.0000
0.0000 5.5150 0.0000
0.0000 0.0000 5.4304
Rb Ti Sn Pb
1 1 1 2
direct
0.0000 0.0000 0.0000
0.5000 0.5000 0.5000
0.5000 0.5000 0.0000
0.0000 0.5000 0.5000
0.5000 0.0000 0.5000
```

---

[12]
Density functional theory data (GGA-PBE) for YVH after structural relaxation.

Summary:
**Raw total energy**: -6.202 eV per atom
**M_tot**: 0.0 μB per cell

POSCAR file:
```
YVH
1.0
5.6162 -1.5752 0.0000
5.6162 1.5752 0.0000
-3.7050 0.0000 5.3544
Y V H
2 2 2
direct
0.0000 0.0000 0.0000
0.5951 0.5951 0.5990
0.2963 0.2963 0.1008
0.7799 0.7799 0.3669
0.1828 0.1828 0.4175
0.9129 0.9129 0.2790
```

---

[13]
Density functional theory data (GGA-PBE) for Ho4ErBi5 after structural relaxation.

Summary:
**Raw total energy**: -5.060 eV per atom
**M_tot**: 0.0 μB per cell
**ΔE_f**: -0.83 eV/atom

POSCAR file:
```
Ho4ErBi5
1.0
-2.2273 3.1481 11.1356
2.2273 -3.1481 11.1356
2.2273 3.1481 -11.1356
Ho Er Bi
4 1 5
direct
0.1000 0.1000 0.0000
0.3002 0.3002 0.0000
0.6998 0.6998 0.0000
0.9000 0.9000 0.0000
0.5000 0.5000 0.0000
0.0000 0.5000 0.5000
0.2000 0.7000 0.5000
0.4004 0.9004 0.5000
0.5996 0.0996 0.5000
0.8000 0.3000 0.5000
```

---

[14]
Density functional theory data (GGA-PBE) for Tb2PmSmHo2 after structural relaxation.

Summary:
**Raw total energy**: -4.373 eV per atom
**M_tot**: 0.0 μB per cell
**ΔE_f**: 0.27 eV/atom

POSCAR file:
```
Tb2PmSmHo2
1.0
6.5825 0.0000 0.0000
0.0000 17.8300 0.0000
0.0000 0.0000 3.3965
Tb Pm Sm Ho
4 2 2 4
direct
0.2272 0.1849 0.0000
0.2728 0.6849 0.5000
0.7272 0.3151 0.5000
0.7728 0.8151 0.0000
0.0000 0.0000 0.0000
0.5000 0.5000 0.5000
0.0000 0.5000 0.0000
0.5000 0.0000 0.5000
0.2255 0.3509 0.5000
0.2745 0.8509 0.0000
0.7255 0.1491 0.0000
0.7745 0.6491 0.5000
```

---

[15]
Density functional theory data (GGA-PBE) for LaP4Pd12 after structural relaxation.

Summary:
**Raw total energy**: -5.698 eV per atom
**M_tot**: 0.0 μB per cell
**ΔE_f**: -0.47 eV/atom

POSCAR file:
```
LaP4Pd12
1.0
-4.1931 4.1931 4.1931
4.1931 -4.1931 4.1931
4.1931 4.1931 -4.1931
La P Pd
1 4 12
direct
0.0000 0.0000 0.0000
0.0000 0.0000 0.5000
0.0000 0.5000 0.0000
0.5000 0.0000 0.0000
0.5000 0.5000 0.5000
0.1641 0.3376 0.8265
0.1735 0.5111 0.3376
0.1735 0.8359 0.6624
0.3376 0.1735 0.5111
0.3376 0.8265 0.1641
0.4889 0.6624 0.8265
0.5111 0.3376 0.1735
0.6624 0.1735 0.8359
0.6624 0.8265 0.4889
0.8265 0.1641 0.3376
0.8265 0.4889 0.6624
0.8359 0.6624 0.1735
```

---

[16]
Density functional theory data (GGA-PBE) for LiZnSe2 after structural relaxation.

Summary:
**Raw total energy**: -3.009 eV per atom
**M_tot**: 0.0 μB per cell

POSCAR file:
```
LiZnSe2
1.0
3.8072 -3.7176 0.0000
3.8072 3.7176 0.0000
-0.9072 0.0000 2.7488
Li Zn Se
1 1 2
direct
0.0000 0.0000 0.0000
0.5000 0.5000 0.0000
0.0000 0.5000 0.0000
0.5000 0.0000 0.0000
```

---

[17]
Density functional theory data (GGA-PBE) for ZrTi2Cl after structural relaxation.

Summary:
**Raw total energy**: -6.088 eV per atom
**M_tot**: 0.0 μB per cell

POSCAR file:
```
ZrTi2Cl
1.0
0.0000 3.3140 3.3140
3.3140 0.0000 3.3140
3.3140 3.3140 0.0000
Zr Ti Cl
1 2 1
direct
0.0000 0.0000 0.0000
0.2500 0.2500 0.2500
0.7500 0.7500 0.7500
0.5000 0.5000 0.5000
```

---

[18]
Density functional theory data (GGA-PBE) for Mg5CdBi2Pd2 after structural relaxation.

Summary:
**Raw total energy**: -3.012 eV per atom
**M_tot**: 0.0 μB per cell
**ΔE_f**: -0.31 eV/atom

POSCAR file:
```
Mg5CdBi2Pd2
1.0
11.4380 0.0000 0.0000
0.0000 11.4380 0.0000
0.0000 0.0000 3.3741
Mg Cd Bi Pd
10 2 4 4
direct
0.0000 0.5000 0.0000
0.0445 0.2104 0.0000
0.2104 0.9555 0.0000
0.2896 0.4555 0.0000
0.4555 0.7104 0.0000
0.5000 0.0000 0.0000
0.5445 0.2896 0.0000
0.7104 0.5445 0.0000
0.7896 0.0445 0.0000
0.9555 0.7896 0.0000
0.0000 0.0000 0.5000
0.5000 0.5000 0.5000
0.1851 0.6851 0.5000
0.3149 0.1851 0.5000
0.6851 0.8149 0.5000
0.8149 0.3149 0.5000
0.1291 0.3709 0.5000
0.3709 0.8709 0.5000
0.6291 0.1291 0.5000
0.8709 0.6291 0.5000
```

---

[19]
Density functional theory data (GGA-PBE) for Sc5Be after structural relaxation.

Summary:
**Raw total energy**: -5.758 eV per atom
**M_tot**: 0.2 μB per cell
**ΔE_f**: 0.14 eV/atom

POSCAR file:
```
Sc5Be
1.0
4.9231 0.0000 0.0000
0.0000 1.6761 7.9135
0.0000 -1.6761 7.9135
Sc Be
5 1
direct
0.0000 0.0000 0.0000
0.0000 0.3136 0.3136
0.5000 0.1935 0.1935
0.5000 0.5410 0.5410
0.5000 0.8701 0.8701
0.0000 0.6498 0.6498
```

---

[20]
Density functional theory data (GGA-PBE) for MnRuI2 after structural relaxation.

Summary:
**Raw total energy**: -4.581 eV per atom
**M_tot**: 3.0 μB per cell

POSCAR file:
```
MnRuI2
1.0
0.0000 3.4937 3.4937
3.4937 0.0000 3.4937
3.4937 3.4937 0.0000
Mn Ru I
1 1 2
direct
0.0000 0.0000 0.0000
0.5000 0.5000 0.5000
0.2500 0.2500 0.2500
0.7500 0.7500 0.7500
```